Record 1
{
  "formula": "VMoPbO6",
  "functional": "GGA+U",
  "state": "relaxed",
  "cell": [[5.173, 0.000, 0.000], [-2.523, 4.582, 0.000], [-0.111, -0.072, 5.414]],
  "species": ["V", "Mo", "Pb", "O", "O", "O", "O", "O", "O"],
  "frac_coords": [[0.000, 0.000, 0.000], [0.329, 0.653, 0.060], [0.666, 0.334, 0.556], [0.054, 0.330, 0.230], [0.062, 0.706, 0.821], [0.283, 0.943, 0.229], [0.292, 0.329, 0.828], [0.670, 0.704, 0.228], [0.671, 0.943, 0.830]],
  "m_tot_mub_per_fu": 0.999,
  "energy_ev_per_fu": -62.91,
  "density_g_cm3": 5.8,
  "sg": "P1 (1)",
  "vol_a3_per_cell": 128
}


Record 2
{
  "formula": "Pa2NiO",
  "functional": "GGA+U",
  "state": "relaxed",
  "cell": [[1.571, 0.907, 8.249], [-1.571, 0.907, 8.249], [0.000, -1.814, 8.249]],
  "species": ["Pa", "Pa", "Ni", "O"],
  "frac_coords": [[0.099, 0.099, 0.099], [0.901, 0.901, 0.901], [0.000, 0.000, 0.000], [0.500, 0.500, 0.500]],
  "m_tot_mub_per_fu": 0.000,
  "energy_ev_per_fu": -28.42,
  "density_g_cm3": 12.6,
  "sg": "R-3m (166)",
  "vol_a3_per_cell": 71
}


Number 1 is which compound? VMoPbO6


Please write out number 1 again, unchanged.
{
  "formula": "VMoPbO6",
  "functional": "GGA+U",
  "state": "relaxed",
  "cell": [[5.173, 0.000, 0.000], [-2.523, 4.582, 0.000], [-0.111, -0.072, 5.414]],
  "species": ["V", "Mo", "Pb", "O", "O", "O", "O", "O", "O"],
  "frac_coords": [[0.000, 0.000, 0.000], [0.329, 0.653, 0.060], [0.666, 0.334, 0.556], [0.054, 0.330, 0.230], [0.062, 0.706, 0.821], [0.283, 0.943, 0.229], [0.292, 0.329, 0.828], [0.670, 0.704, 0.228], [0.671, 0.943, 0.830]],
  "m_tot_mub_per_fu": 0.999,
  "energy_ev_per_fu": -62.91,
  "density_g_cm3": 5.8,
  "sg": "P1 (1)",
  "vol_a3_per_cell": 128
}


What did the first record say?
{
  "formula": "VMoPbO6",
  "functional": "GGA+U",
  "state": "relaxed",
  "cell": [[5.173, 0.000, 0.000], [-2.523, 4.582, 0.000], [-0.111, -0.072, 5.414]],
  "species": ["V", "Mo", "Pb", "O", "O", "O", "O", "O", "O"],
  "frac_coords": [[0.000, 0.000, 0.000], [0.329, 0.653, 0.060], [0.666, 0.334, 0.556], [0.054, 0.330, 0.230], [0.062, 0.706, 0.821], [0.283, 0.943, 0.229], [0.292, 0.329, 0.828], [0.670, 0.704, 0.228], [0.671, 0.943, 0.830]],
  "m_tot_mub_per_fu": 0.999,
  "energy_ev_per_fu": -62.91,
  "density_g_cm3": 5.8,
  "sg": "P1 (1)",
  "vol_a3_per_cell": 128
}